A relaxed LaVBiCl2 crystal, computed with GGA-PBE.

The space group is P4/mmm (No. 123) and the conventional cell measures 5.3609, 5.3609 and 6.7898 Å, with angles of 90.00, 90.00 and 90.00 degrees. Symmetry generates all atoms from La at (0.0000, 0.0000, 0.0000), V at (0.5000, 0.5000, 0.0000), Bi at (0.0000, 0.0000, 0.5000) and Cl at (0.0000, 0.5000, 0.5000).

Its magnetic moment is 4.8 Bohr magnetons per cell. The calculation puts the raw formation energy at 387 meV/atom.

---

A relaxed LiBi2Cl crystal, computed with GGA-PBE.

The space group is Fm-3m (No. 225) and the conventional cell measures 7.4014, 7.4014 and 7.4014 Å, with angles of 90.00, 90.00 and 90.00 degrees. Symmetry generates all atoms from Li at (0.0000, 0.0000, 0.0000), Bi at (0.2500, 0.2500, 0.2500) and Cl at (0.0000, 0.0000, 0.5000).

The energy relative to the lowest polymorph listed for this composition is 0.294 eV per atom. Its magnetic moment is 0.0 Bohr magnetons per cell. The calculation puts the raw formation energy at -93 meV/atom.

---

A relaxed LiBi3Cl crystal, computed with GGA-PBE.

The space group is Pm-3m (No. 221) and the conventional cell measures 5.5958, 5.5958 and 5.5958 Å, with angles of 90.00, 90.00 and 90.00 degrees. Symmetry generates all atoms from Li at (0.0000, 0.0000, 0.0000), Bi at (0.0000, 0.5000, 0.5000) and Cl at (0.5000, 0.5000, 0.5000).

The energy relative to the lowest polymorph listed for this composition is 0.269 eV per atom. Its magnetic moment is 0.0 Bohr magnetons per cell. The calculation puts the raw formation energy at 405 meV/atom.

---

A relaxed LiBi2Cl6 crystal, computed with GGA-PBE.

The space group is P4_2/mnm (No. 136) and the conventional cell measures 6.2535, 6.2535 and 13.3280 Å, with angles of 90.00, 90.00 and 90.00 degrees. Symmetry generates all atoms from Li at (0.0000, 0.0000, 0.0000), Bi at (0.0000, 0.0000, 0.3352), Cl at (0.1898, 0.1898, 0.1519) and Cl at (0.1908, 0.1908, 0.5000).

Its magnetic moment is 1.9 Bohr magnetons per cell. The calculation puts the raw formation energy at -1004 meV/atom.

---

> What is the formula in the fourth record?

LiBi2Cl6

---

> raw formation energy of number 3 (LiBi3Cl)?

405 meV/atom

---

What did the first record say?
A relaxed LaVBiCl2 crystal, computed with GGA-PBE.

The space group is P4/mmm (No. 123) and the conventional cell measures 5.3609, 5.3609 and 6.7898 Å, with angles of 90.00, 90.00 and 90.00 degrees. Symmetry generates all atoms from La at (0.0000, 0.0000, 0.0000), V at (0.5000, 0.5000, 0.0000), Bi at (0.0000, 0.0000, 0.5000) and Cl at (0.0000, 0.5000, 0.5000).

Its magnetic moment is 4.8 Bohr magnetons per cell. The calculation puts the raw formation energy at 387 meV/atom.

---

> Which of these has the highest magnetic moment?

LaVBiCl2